Entry 1:
Below is a relaxed structure of BaNa2F, with properties calculated at the PBE level.

abc: 5.856 5.856 5.856
angles: 60.00 60.00 60.00
Last column: magnetic moment on the atom in μB.
Positions (direct):
Na1 0.250 0.250 0.250  0.04
Na2 0.750 0.750 0.750  0.04
Ba1 0.500 0.500 0.500  0.15
F1 0.000 0.000 0.000  0.03

Values from the calculation:
D(E_F) ... 2.0 states/eV per cell
Total magnetic moment ... 0.212 μB per atom
Formation energy from raw total energies ... -0.466 eV/atom
E ... -2.074 eV per atom
E above lowest polymorph ... 656 meV/atom

=====

Entry 2:
Below is a relaxed structure of CePu2Ir, with properties calculated at the PBE level.

abc: 5.138 5.769 12.247
angles: 90.00 90.00 90.00
Last column: magnetic moment on the atom in μB.
Positions (direct):
Ce1 0.250 0.250 0.042  -0.57
Ce2 0.750 0.750 0.458  -0.57
Ce3 0.750 0.750 0.958  -0.57
Ce4 0.250 0.250 0.542  -0.57
Pu1 0.750 0.002 0.185  -5.41
Pu2 0.250 0.998 0.315  -5.41
Pu3 0.250 0.502 0.815  -5.41
Pu4 0.750 0.498 0.685  -5.41
Pu5 0.250 0.998 0.815  -5.41
Pu6 0.750 0.002 0.685  -5.41
Pu7 0.750 0.498 0.185  -5.41
Pu8 0.250 0.502 0.315  -5.41
Ir1 0.750 0.250 0.414  0.05
Ir2 0.250 0.750 0.086  0.05
Ir3 0.250 0.750 0.586  0.05
Ir4 0.750 0.250 0.914  0.05

Values from the calculation:
D(E_F) ... 46.9 states/eV per cell
Total magnetic moment ... 2.956 μB per atom
E ... -11.094 eV per atom
E above lowest polymorph ... 24 meV/atom
Energy relative to the elements ... -5.29 kcal/mol of atoms

=====

Entry 3:
Below is a relaxed structure of Cs2MgRhBr6, with properties calculated at the PBE level.

abc: 7.596 7.596 7.594
angles: 59.99 59.99 90.00
Positions (direct):
Cs1 0.750 0.250 0.500
Cs2 0.250 0.750 0.500
Mg1 0.500 0.500 0.000
Rh1 0.000 0.000 0.000
Br1 0.244 0.244 0.513
Br2 0.756 0.756 0.487
Br3 0.244 0.244 0.000
Br4 0.756 0.756 0.000
Br5 0.756 0.244 0.000
Br6 0.244 0.756 0.000

Values from the calculation:
D(E_F) ... 2.9 states/eV per cell
Total magnetic moment ... 0.000 μB per atom
Formation energy from raw total energies ... -1.151 eV/atom
E ... -3.220 eV per atom

=====

Entry 4:
Below is a relaxed structure of Mg2FeCu, with properties calculated at the PBE level.

abc: 5.422 5.422 5.422
angles: 148.49 130.20 60.13
Last column: magnetic moment on the atom in μB.
Positions (direct):
Cu1 0.484 0.484 0.000  0.03
Fe1 0.269 0.769 0.500  2.42
Mg1 0.016 0.016 0.000  -0.01
Mg2 0.731 0.231 0.500  -0.03

Values from the calculation:
D(E_F) ... 3.7 states/eV per cell
Total magnetic moment ... 0.572 μB per atom
E ... -3.778 eV per atom
Energy relative to the elements ... 3.67 kcal/mol of atoms

=====

Entry 5:
Below is a relaxed structure of HgWAu2, with properties calculated at the PBE level.

abc: 5.010 5.010 5.010
angles: 129.43 129.43 74.32
Last column: magnetic moment on the atom in μB.
Positions (direct):
Au1 0.000 0.000 0.000  0.07
Au2 0.250 0.750 0.500  0.04
Hg1 0.500 0.500 0.000  0.03
W1 0.750 0.250 0.500  1.19

Values from the calculation:
D(E_F) ... 2.8 states/eV per cell
Total magnetic moment ... 0.389 μB per atom
E ... -4.246 eV per atom
Energy relative to the elements ... 16.28 kcal/mol of atoms

=====

Entry 6:
Below is a relaxed structure of Er5Tl2Ni, with properties calculated at the PBE level.

abc: 4.725 7.214 12.300
angles: 90.00 90.00 90.00
Positions (direct):
Er1 0.000 0.000 0.500
Er2 0.000 0.500 0.000
Er3 0.000 0.876 0.208
Er4 0.000 0.124 0.792
Er5 0.000 0.624 0.708
Er6 0.000 0.376 0.292
Er7 0.500 0.678 0.420
Er8 0.500 0.322 0.580
Er9 0.500 0.822 0.920
Er10 0.500 0.178 0.080
Tl1 0.500 0.599 0.163
Tl2 0.500 0.401 0.837
Tl3 0.500 0.901 0.663
Tl4 0.500 0.099 0.337
Ni1 0.000 0.500 0.500
Ni2 0.000 0.000 0.000

Values from the calculation:
D(E_F) ... 14.8 states/eV per cell
Total magnetic moment ... 0.000 μB per atom
E ... -4.459 eV per atom
Energy relative to the elements ... -6.75 kcal/mol of atoms

=====

Entry 7:
Below is a relaxed structure of Ac2DyCdTe5, with properties calculated at the PBE level.

abc: 4.513 10.097 13.738
angles: 90.00 90.00 102.91
Positions (direct):
Ac1 0.868 0.736 0.809
Ac2 0.117 0.234 0.685
Ac3 0.132 0.264 0.309
Ac4 0.883 0.766 0.185
Dy1 0.801 0.602 0.512
Dy2 0.199 0.398 0.012
Cd1 0.558 0.115 0.954
Cd2 0.442 0.885 0.454
Te1 0.356 0.712 0.001
Te2 0.692 0.385 0.852
Te3 0.496 0.993 0.772
Te4 0.288 0.576 0.666
Te5 0.953 0.906 0.572
Te6 0.644 0.288 0.501
Te7 0.308 0.615 0.352
Te8 0.504 0.007 0.272
Te9 0.712 0.424 0.166
Te10 0.047 0.094 0.072

Values from the calculation:
D(E_F) ... 4.8 states/eV per cell
Total magnetic moment ... 0.000 μB per atom
Formation energy from raw total energies ... -1.266 eV/atom
E ... -4.538 eV per atom

=====

Entry 8:
Below is a relaxed structure of BaCa6Cd2, with properties calculated at the PBE level.

abc: 5.344 5.344 12.505
angles: 90.00 90.00 90.00
Positions (direct):
Ba1 0.000 0.000 0.000
Ca1 0.000 0.500 0.269
Ca2 0.500 0.000 0.269
Ca3 0.000 0.500 0.731
Ca4 0.500 0.000 0.731
Ca5 0.500 0.500 0.500
Ca6 0.000 0.000 0.500
Cd1 0.500 0.500 0.114
Cd2 0.500 0.500 0.886

Values from the calculation:
D(E_F) ... 10.7 states/eV per cell
Total magnetic moment ... 0.000 μB per atom
E ... -1.863 eV per atom
E above lowest polymorph ... 28 meV/atom
Energy relative to the elements ... -2.58 kcal/mol of atoms

=====

Entry 9:
Below is a relaxed structure of LaScZn, with properties calculated at the PBE level.

abc: 3.518 6.175 7.667
angles: 93.29 76.72 73.44
Positions (direct):
Sc1 0.812 0.589 0.224
Sc2 0.991 0.981 0.474
Zn1 0.283 0.403 0.469
Zn2 0.249 0.184 0.755
La1 0.631 0.090 0.085
La2 0.499 0.638 0.803

Values from the calculation:
D(E_F) ... 6.4 states/eV per cell
Total magnetic moment ... 0.000 μB per atom
E ... -4.310 eV per atom
E above lowest polymorph ... 72 meV/atom
Energy relative to the elements ... -3.04 kcal/mol of atoms

=====

Entry 10:
Below is a relaxed structure of Ti3CuAg, with properties calculated at the PBE level.

abc: 4.865 4.865 4.865
angles: 90.00 90.00 90.00
Last column: magnetic moment on the atom in μB.
Positions (direct):
Cu1 0.500 0.500 0.500  0.01
Ag1 0.000 0.000 0.000  0.04
Ti1 0.000 0.500 0.000  0.54
Ti2 0.000 0.000 0.500  0.37
Ti3 0.500 0.000 0.000  0.85

Values from the calculation:
D(E_F) ... 12.6 states/eV per cell
Total magnetic moment ... 0.500 μB per atom
E ... -4.822 eV per atom
E above lowest polymorph ... 613 meV/atom
Energy relative to the elements ... 30.07 kcal/mol of atoms

=====

Entry 11:
Below is a relaxed structure of Ti17Pb2, with properties calculated at the PBE level.

abc: 7.195 7.195 7.195
angles: 78.08 78.08 78.08
Last column: magnetic moment on the atom in μB.
Positions (direct):
Ti1 0.382 0.382 0.827  0.06
Ti2 0.382 0.827 0.382  0.06
Ti3 0.085 0.085 0.085  0.45
Ti4 0.915 0.915 0.915  0.45
Ti5 0.000 0.000 0.500  0.34
Ti6 0.500 0.000 0.000  0.34
Ti7 0.000 0.500 0.000  0.34
Ti8 0.298 0.702 0.000  -0.16
Ti9 0.000 0.298 0.702  -0.16
Ti10 0.702 0.000 0.298  -0.16
Ti11 0.702 0.298 0.000  -0.16
Ti12 0.000 0.702 0.298  -0.16
Ti13 0.298 0.000 0.702  -0.16
Ti14 0.618 0.173 0.618  0.06
Ti15 0.618 0.618 0.173  0.06
Ti16 0.173 0.618 0.618  0.06
Ti17 0.827 0.382 0.382  0.06
Pb1 0.701 0.701 0.701  0.00
Pb2 0.299 0.299 0.299  0.00

Values from the calculation:
D(E_F) ... 35.9 states/eV per cell
Total magnetic moment ... 0.093 μB per atom
E ... -7.144 eV per atom
Energy relative to the elements ... 7.16 kcal/mol of atoms

=====

Entry 12:
Below is a relaxed structure of CeScGaPt, with properties calculated at the PBE level.

abc: 4.936 4.936 4.936
angles: 60.00 60.00 60.00
Last column: magnetic moment on the atom in μB.
Positions (direct):
Sc1 0.000 0.000 0.000  0.03
Ga1 0.250 0.250 0.250  0.00
Ce1 0.500 0.500 0.500  0.40
Pt1 0.750 0.750 0.750  -0.02

Values from the calculation:
D(E_F) ... 5.6 states/eV per cell
Total magnetic moment ... 0.116 μB per atom
E ... -6.066 eV per atom
Energy relative to the elements ... -16.90 kcal/mol of atoms